{"formula": "LiSeBr2", "functional": "PBEsol", "state": "optimized geometry", "cell": [[-1.819, 2.846, -1.690], [-3.139, -0.871, 1.911], [4.544, 3.587, 5.368]], "species": ["Br", "Br", "Se", "Li"], "frac_coords": [[0.000, 0.000, 0.000], [0.750, 0.250, 0.500], [0.250, 0.750, 0.500], [0.500, 0.500, 0.000]], "dft_energy_ev_per_atom": -2.917, "rho_g_cm3": 3.85, "relative_energy_mev_per_atom": 0, "n_ef_per_ev_atom": 0.2879, "e_form_raw_kj_per_mol_atoms": -51}


{"formula": "LiSeBr2", "functional": "PBEsol", "state": "optimized geometry", "cell": [[-2.122, -1.349, 2.428], [3.891, -2.203, 2.177], [0.690, 4.024, 2.839]], "species": ["Br", "Br", "Se", "Li"], "frac_coords": [[0.000, 0.000, 0.500], [0.000, 0.500, 0.000], [0.500, 0.000, 0.000], [0.500, 0.500, 0.500]], "dft_energy_ev_per_atom": -2.696, "rho_g_cm3": 4.72, "relative_energy_mev_per_atom": 221, "n_ef_per_ev_atom": 0.5434, "e_form_raw_kj_per_mol_atoms": -30}


{"formula": "LiSeBr2", "functional": "PBEsol", "state": "optimized geometry", "cell": [[-2.907, 1.053, -1.251], [-1.609, -2.296, 1.807], [-0.646, 4.843, 5.577]], "species": ["Br", "Br", "Se", "Li"], "frac_coords": [[0.000, 0.000, 0.792], [0.000, 0.000, 0.208], [0.500, 0.500, 0.500], [0.500, 0.500, 0.000]], "dft_energy_ev_per_atom": -2.626, "rho_g_cm3": 4.95, "relative_energy_mev_per_atom": 290, "n_ef_per_ev_atom": 0.6387, "e_form_raw_kj_per_mol_atoms": -23}


{"formula": "LiSe2Br", "functional": "PBEsol", "state": "optimized geometry", "cell": [[-2.755, 2.269, -0.206], [-1.016, -1.518, -3.136], [-2.663, -5.570, 5.286]], "species": ["Br", "Se", "Se", "Li"], "frac_coords": [[0.500, 0.000, 0.000], [0.726, 0.703, 0.453], [0.274, 0.297, 0.547], [0.000, 0.500, 0.000]], "dft_energy_ev_per_atom": -3.509, "rho_g_cm3": 4.02, "relative_energy_mev_per_atom": 0, "n_ef_per_ev_atom": 0.1600, "e_form_raw_kj_per_mol_atoms": -60}


{"formula": "LiSe2Br", "functional": "PBEsol", "state": "optimized geometry", "cell": [[3.863, 0.000, 0.000], [0.000, 3.863, 0.000], [-1.932, -1.932, 5.792]], "species": ["Br", "Se", "Se", "Li"], "frac_coords": [[0.500, 0.500, 0.000], [0.000, 0.000, 0.000], [0.750, 0.250, 0.500], [0.250, 0.750, 0.500]], "dft_energy_ev_per_atom": -2.899, "rho_g_cm3": 4.70, "relative_energy_mev_per_atom": 609, "n_ef_per_ev_atom": 0.9300, "e_form_raw_kj_per_mol_atoms": -1}


{"formula": "LiSeBr2", "functional": "PBEsol", "state": "optimized geometry", "cell": [[4.201, 0.000, 0.000], [-2.101, 3.493, 0.000], [0.000, 0.000, 6.895]], "species": ["Br", "Br", "Se", "Li"], "frac_coords": [[0.000, 0.000, 0.745], [0.000, 0.000, 0.255], [0.500, 0.000, 0.000], [0.500, 0.000, 0.500]], "dft_energy_ev_per_atom": -2.695, "rho_g_cm3": 4.03, "relative_energy_mev_per_atom": 222, "n_ef_per_ev_atom": 0.5217, "e_form_raw_kj_per_mol_atoms": -29}


{"formula": "LiTcSe2Br", "functional": "PBEsol", "state": "optimized geometry", "cell": [[-2.523, -3.638, 1.322], [3.415, -1.349, 2.805], [-1.880, 2.588, 3.534]], "species": ["Se", "Se", "Tc", "Br", "Li"], "frac_coords": [[0.000, 0.500, 0.000], [0.500, 0.000, 0.000], [0.500, 0.500, 0.500], [0.000, 0.000, 0.500], [0.000, 0.000, 0.000]], "dft_energy_ev_per_atom": -3.869, "rho_g_cm3": 5.59, "n_ef_per_ev_atom": 0.8908, "e_form_raw_kj_per_mol_atoms": 67}


{"formula": "LiZnSe2Br", "functional": "PBEsol", "state": "optimized geometry", "cell": [[4.776, 0.000, 0.000], [0.000, 4.776, 0.000], [0.000, 0.000, 5.569]], "species": ["Zn", "Se", "Se", "Br", "Li"], "frac_coords": [[0.000, 0.000, 0.000], [0.000, 0.500, 0.000], [0.500, 0.000, 0.000], [0.000, 0.000, 0.500], [0.500, 0.500, 0.500]], "dft_energy_ev_per_atom": -2.831, "rho_g_cm3": 4.05, "n_ef_per_ev_atom": 0.9773, "e_form_raw_kj_per_mol_atoms": -20}


{"formula": "LiSiBr2", "functional": "PBEsol", "state": "optimized geometry", "cell": [[-0.944, 1.994, -2.827], [-3.030, -0.726, -1.775], [-5.809, 5.950, 3.862]], "species": ["Si", "Br", "Br", "Li"], "frac_coords": [[0.500, 0.500, 0.500], [0.913, 0.913, 0.260], [0.087, 0.087, 0.740], [0.000, 0.000, 0.000]], "dft_energy_ev_per_atom": -3.011, "rho_g_cm3": 3.25, "relative_energy_mev_per_atom": 258, "n_ef_per_ev_atom": 0.5255, "e_form_raw_kj_per_mol_atoms": -14}


{"formula": "LiSiBr3", "functional": "PBEsol", "state": "optimized geometry", "cell": [[-4.377, -1.776, 1.070], [0.631, -3.522, -3.264], [1.975, -2.810, 3.415]], "species": ["Si", "Br", "Br", "Br", "Li"], "frac_coords": [[0.500, 0.500, 0.500], [0.000, 0.500, 0.000], [0.000, 0.000, 0.500], [0.500, 0.000, 0.000], [0.000, 0.000, 0.000]], "dft_energy_ev_per_atom": -2.898, "rho_g_cm3": 4.02, "n_ef_per_ev_atom": 0.0633, "e_form_raw_kj_per_mol_atoms": -23}


{"formula": "Li2SiBr", "functional": "PBEsol", "state": "optimized geometry", "cell": [[3.184, 0.014, 0.000], [-0.021, 4.742, 0.000], [0.000, 0.000, 4.738]], "species": ["Si", "Br", "Li", "Li"], "frac_coords": [[0.375, 0.625, 0.000], [0.375, 0.125, 0.500], [0.875, 0.125, 0.000], [0.875, 0.625, 0.500]], "dft_energy_ev_per_atom": -3.156, "rho_g_cm3": 2.83, "relative_energy_mev_per_atom": 197, "n_ef_per_ev_atom": 0.5350, "e_form_raw_kj_per_mol_atoms": -26}


{"formula": "LiSiBr2", "functional": "PBEsol", "state": "optimized geometry", "cell": [[3.564, 0.051, 0.000], [-1.727, 3.118, 0.000], [0.000, 0.000, 7.868]], "species": ["Si", "Br", "Br", "Li"], "frac_coords": [[0.500, 0.500, 0.000], [0.000, 0.000, 0.274], [0.000, 0.000, 0.726], [0.500, 0.500, 0.500]], "dft_energy_ev_per_atom": -3.261, "rho_g_cm3": 3.67, "relative_energy_mev_per_atom": 8, "n_ef_per_ev_atom": 0.2797, "e_form_raw_kj_per_mol_atoms": -38}


{"formula": "LiSiBr2", "functional": "PBEsol", "state": "optimized geometry", "cell": [[3.532, 0.000, 0.000], [1.766, 3.059, 0.000], [1.766, 1.020, 7.755]], "species": ["Si", "Br", "Br", "Li"], "frac_coords": [[0.000, 0.000, 0.000], [0.237, 0.237, 0.290], [0.763, 0.763, 0.710], [0.500, 0.500, 0.500]], "dft_energy_ev_per_atom": -3.269, "rho_g_cm3": 3.86, "relative_energy_mev_per_atom": 0, "n_ef_per_ev_atom": 0.4016, "e_form_raw_kj_per_mol_atoms": -39}


{"formula": "Li2SiBr", "functional": "PBEsol", "state": "optimized geometry", "cell": [[3.169, 0.023, 0.030], [-0.037, 4.829, -0.029], [-0.037, -1.386, 4.626]], "species": ["Si", "Br", "Li", "Li"], "frac_coords": [[0.500, 0.500, 0.500], [0.500, 0.000, 0.000], [0.000, 0.500, 0.000], [0.000, 0.000, 0.500]], "dft_energy_ev_per_atom": -3.220, "rho_g_cm3": 2.86, "relative_energy_mev_per_atom": 134, "n_ef_per_ev_atom": 0.3123, "e_form_raw_kj_per_mol_atoms": -32}


{"formula": "Li2SiBr", "functional": "PBEsol", "state": "optimized geometry", "cell": [[3.309, 0.000, 0.000], [1.654, 2.865, 0.000], [1.654, 0.955, 7.685]], "species": ["Si", "Br", "Li", "Li"], "frac_coords": [[0.000, 0.000, 0.000], [0.500, 0.500, 0.500], [0.239, 0.239, 0.282], [0.761, 0.761, 0.718]], "dft_energy_ev_per_atom": -3.354, "rho_g_cm3": 2.78, "relative_energy_mev_per_atom": 0, "n_ef_per_ev_atom": 0.4808, "e_form_raw_kj_per_mol_atoms": -45}


{"formula": "LiSiBr2", "functional": "PBEsol", "state": "optimized geometry", "cell": [[-2.069, -2.180, 2.329], [3.171, -1.110, 1.779], [-1.173, 6.969, 2.377]], "species": ["Si", "Br", "Br", "Li"], "frac_coords": [[0.250, 0.750, 0.500], [0.000, 0.000, 0.000], [0.750, 0.250, 0.500], [0.500, 0.500, 0.000]], "dft_energy_ev_per_atom": -3.188, "rho_g_cm3": 3.22, "relative_energy_mev_per_atom": 81, "n_ef_per_ev_atom": 0.3023, "e_form_raw_kj_per_mol_atoms": -31}


{"formula": "Li2SiBr", "functional": "PBEsol", "state": "optimized geometry", "cell": [[3.162, 0.000, 0.034], [0.000, 3.162, 0.000], [-0.071, 0.000, 7.053]], "species": ["Si", "Br", "Li", "Li"], "frac_coords": [[0.500, 0.500, 0.000], [0.500, 0.500, 0.500], [0.000, 0.000, 0.733], [0.000, 0.000, 0.267]], "dft_energy_ev_per_atom": -3.334, "rho_g_cm3": 2.87, "relative_energy_mev_per_atom": 20, "n_ef_per_ev_atom": 0.3333, "e_form_raw_kj_per_mol_atoms": -43}


{"formula": "SrLiBr2", "functional": "PBEsol", "state": "optimized geometry", "cell": [[5.293, 0.000, 0.000], [2.646, 4.584, 0.000], [2.646, 1.528, 4.322]], "species": ["Br", "Br", "Li", "Sr"], "frac_coords": [[0.250, 0.250, 0.250], [0.750, 0.750, 0.750], [0.000, 0.000, 0.000], [0.500, 0.500, 0.500]], "dft_energy_ev_per_atom": -3.151, "rho_g_cm3": 4.03, "relative_energy_mev_per_atom": 0, "n_ef_per_ev_atom": 0.5665, "e_form_raw_kj_per_mol_atoms": -122}


{"formula": "Sr2LiBr2", "functional": "PBEsol", "state": "optimized geometry", "cell": [[-5.247, -0.268, 3.351], [5.426, -1.692, 2.557], [2.452, 5.523, -1.523]], "species": ["Sr", "Sr", "Br", "Br", "Li"], "frac_coords": [[0.500, 0.750, 0.250], [0.500, 0.250, 0.750], [0.000, 0.708, 0.708], [0.000, 0.292, 0.292], [0.000, 0.000, 0.000]], "dft_energy_ev_per_atom": -2.875, "rho_g_cm3": 3.32, "n_ef_per_ev_atom": 0.6091, "e_form_raw_kj_per_mol_atoms": -96}


{"formula": "Sr2LiBr", "functional": "PBEsol", "state": "optimized geometry", "cell": [[-2.948, -0.675, 4.589], [5.976, 0.423, 0.610], [1.991, 4.727, 1.975]], "species": ["Br", "Li", "Sr", "Sr"], "frac_coords": [[0.500, 0.000, 0.500], [0.000, 0.000, 0.000], [0.250, 0.500, 0.250], [0.750, 0.500, 0.750]], "dft_energy_ev_per_atom": -2.344, "rho_g_cm3": 3.13, "n_ef_per_ev_atom": 0.5998, "e_form_raw_kj_per_mol_atoms": -45}


{"formula": "SrLiBr2", "functional": "PBEsol", "state": "optimized geometry", "cell": [[-1.590, 2.449, -3.032], [-3.881, -0.695, 1.475], [3.273, 4.152, 4.560]], "species": ["Br", "Br", "Li", "Sr"], "frac_coords": [[0.000, 0.000, 0.000], [0.750, 0.250, 0.500], [0.500, 0.500, 0.000], [0.250, 0.750, 0.500]], "dft_energy_ev_per_atom": -3.126, "rho_g_cm3": 3.77, "relative_energy_mev_per_atom": 25, "n_ef_per_ev_atom": 0.6159, "e_form_raw_kj_per_mol_atoms": -120}


{"formula": "Li2TaBr", "functional": "PBEsol", "state": "optimized geometry", "cell": [[3.070, -0.072, 0.000], [-1.424, 2.720, 0.000], [0.000, 0.000, 9.360]], "species": ["Ta", "Br", "Li", "Li"], "frac_coords": [[0.000, 0.000, 0.480], [0.500, 0.500, 0.245], [0.000, 0.000, 0.026], [0.500, 0.500, 0.748]], "dft_energy_ev_per_atom": -4.420, "rho_g_cm3": 5.91, "relative_energy_mev_per_atom": 0, "n_ef_per_ev_atom": 0.8403, "e_form_raw_kj_per_mol_atoms": 16}


{"formula": "Li2TaBr", "functional": "PBEsol", "state": "optimized geometry", "cell": [[-2.250, -0.038, 4.214], [-4.644, -1.099, 0.218], [-1.385, -4.145, 1.931]], "species": ["Ta", "Br", "Li", "Li"], "frac_coords": [[0.500, 0.500, 0.500], [0.000, 0.000, 0.000], [0.250, 0.250, 0.250], [0.750, 0.750, 0.750]], "dft_energy_ev_per_atom": -3.654, "rho_g_cm3": 5.92, "relative_energy_mev_per_atom": 765, "n_ef_per_ev_atom": 0.9705, "e_form_raw_kj_per_mol_atoms": 90}


{"formula": "LiTaBr", "functional": "PBEsol", "state": "optimized geometry", "cell": [[4.216, 0.000, 0.000], [2.108, 3.651, 0.000], [2.108, 1.217, 3.442]], "species": ["Ta", "Br", "Li"], "frac_coords": [[0.500, 0.500, 0.500], [0.750, 0.750, 0.750], [0.000, 0.000, 0.000]], "dft_energy_ev_per_atom": -4.591, "rho_g_cm3": 8.39, "relative_energy_mev_per_atom": 410, "n_ef_per_ev_atom": 1.3578, "e_form_raw_kj_per_mol_atoms": 84}


{"formula": "LiTaBr", "functional": "PBEsol", "state": "optimized geometry", "cell": [[-2.749, -1.300, 0.433], [1.640, -3.917, -1.348], [0.152, 1.114, 4.311]], "species": ["Ta", "Br", "Li"], "frac_coords": [[0.500, 0.667, 0.333], [0.500, 0.000, 0.000], [0.000, 0.333, 0.667]], "dft_energy_ev_per_atom": -5.000, "rho_g_cm3": 8.42, "relative_energy_mev_per_atom": 0, "n_ef_per_ev_atom": 0.7282, "e_form_raw_kj_per_mol_atoms": 45}


{"formula": "Li2TaBr", "functional": "PBEsol", "state": "optimized geometry", "cell": [[-0.426, 2.544, -1.421], [-4.733, -1.067, -0.491], [-1.012, 2.384, 4.572]], "species": ["Ta", "Br", "Li", "Li"], "frac_coords": [[0.500, 0.000, 0.485], [0.500, 0.500, 0.325], [0.000, 0.000, 0.972], [0.000, 0.500, 0.719]], "dft_energy_ev_per_atom": -4.339, "rho_g_cm3": 6.05, "relative_energy_mev_per_atom": 81, "n_ef_per_ev_atom": 0.5798, "e_form_raw_kj_per_mol_atoms": 24}


{"formula": "Li4TcBr", "functional": "PBEsol", "state": "optimized geometry", "cell": [[5.104, 0.000, 0.000], [2.552, 4.421, 0.000], [2.552, 1.474, 4.168]], "species": ["Br", "Li", "Li", "Li", "Li", "Tc"], "frac_coords": [[0.000, 0.000, 0.000], [0.377, 0.377, 0.377], [0.377, 0.377, 0.869], [0.869, 0.377, 0.377], [0.377, 0.869, 0.377], [0.750, 0.750, 0.750]], "dft_energy_ev_per_atom": -3.000, "rho_g_cm3": 3.63, "n_ef_per_ev_atom": 0.4815, "e_form_raw_kj_per_mol_atoms": 48}


{"formula": "LiTc3Br", "functional": "PBEsol", "state": "optimized geometry", "cell": [[-2.828, -3.410, 0.845], [0.162, -1.210, -4.342], [3.510, -2.692, 0.882]], "species": ["Tc", "Tc", "Tc", "Br", "Li"], "frac_coords": [[0.000, 0.500, 0.000], [0.000, 0.000, 0.500], [0.500, 0.000, 0.000], [0.000, 0.000, 0.000], [0.500, 0.500, 0.500]], "dft_energy_ev_per_atom": -5.957, "rho_g_cm3": 6.89, "n_ef_per_ev_atom": 0.9054, "e_form_raw_kj_per_mol_atoms": 151}


{"formula": "Li2TeBr", "functional": "PBEsol", "state": "optimized geometry", "cell": [[-3.475, -0.956, 0.150], [-1.237, -1.415, 3.079], [-3.355, 5.820, 3.475]], "species": ["Te", "Br", "Li", "Li"], "frac_coords": [[0.500, 0.500, 0.000], [0.000, 0.000, 0.500], [0.261, 0.261, 0.717], [0.739, 0.739, 0.283]], "dft_energy_ev_per_atom": -3.404, "rho_g_cm3": 4.41, "relative_energy_mev_per_atom": 0, "n_ef_per_ev_atom": 0.2506, "e_form_raw_kj_per_mol_atoms": -103}


{"formula": "LiTeBr2", "functional": "PBEsol", "state": "optimized geometry", "cell": [[4.480, 0.000, 0.000], [0.000, 4.976, 0.072], [0.000, -0.044, 5.014]], "species": ["Te", "Br", "Br", "Li"], "frac_coords": [[0.500, 0.500, 0.500], [0.000, 0.243, 0.243], [0.000, 0.757, 0.757], [0.500, 0.000, 0.000]], "dft_energy_ev_per_atom": -2.745, "rho_g_cm3": 4.37, "relative_energy_mev_per_atom": 95, "n_ef_per_ev_atom": 0.3269, "e_form_raw_kj_per_mol_atoms": -42}